CsP2Ir2 | GGA-PBE | relaxed

Structure (POSCAR):
```
CsP2Ir2
1.0
3.974 0.000 0.000
0.000 3.974 0.000
0.000 0.000 7.185
Cs P Ir
1 2 2
Direct
0.000 0.000 0.000
0.500 0.500 0.311
0.500 0.500 0.689
0.000 0.500 0.500
0.500 0.000 0.500
```

## Properties
DOS at the Fermi energy, states/eV per atom: 1.14
ΔE_f, meV per atom: -290.9
Total magnetization, μB per atom: 0.000
Symmetry: P4/mmm